1.
Here is a relaxed structure of Rb2AlZn from Alexandria via LeMat-Bulk. Energies are from PBE-GGA.

a = 8.7890 Å, b = 8.7890 Å, c = 8.7890 Å
α = 90.00°, β = 90.00°, γ = 90.00°
Last column: nearest neighbours and their distance in Å.
Space group Fm-3m (No. 225)
One atom of each set of equivalent atoms:
Rb  0.2500  0.2500  0.2500  4 Al 3.81, 4 Zn 3.81
Al  0.0000  0.0000  0.0000  8 Rb 3.81
Zn  0.0000  0.0000  0.5000  8 Rb 3.81

Values from the calculation:
The calculation puts the energy above the most stable polymorph in this dataset at 0.98 eV per formula unit. The calculation puts the energy relative to the elements at 0.480 eV per atom.

=====

2.
Here is a relaxed structure of ZnSiNi6 from Alexandria via LeMat-Bulk. Energies are from PBE-GGA.

a = 7.0916 Å, b = 10.0162 Å, c = 10.0097 Å
α = 90.00°, β = 90.00°, γ = 90.00°
Last column: nearest neighbours and their distance in Å.
Space group Cmmm (No. 65)
One atom of each set of equivalent atoms:
Zn  0.0000  0.0000  0.2492  12 Ni 2.49-2.56
Zn  0.0000  0.2450  0.0000  12 Ni 2.45-2.57
Si  0.0000  0.2444  0.5000  12 Ni 2.44-2.56
Si  0.0000  0.5000  0.2483  12 Ni 2.44-2.52
Ni  0.0000  0.0000  0.0000  4 Zn 2.45-2.49, 8 Ni 2.55
Ni  0.0000  0.0000  0.5000  2 Si 2.45, 2 Zn 2.51, 8 Ni 2.52
Ni  0.0000  0.2511  0.2565  2 Si 2.44-2.49, 8 Ni 2.45-2.57, 2 Zn 2.52-2.57
Ni  0.0000  0.5000  0.0000  8 Ni 2.48, 2 Si 2.49, 2 Zn 2.55
Ni  0.0000  0.5000  0.5000  8 Ni 2.47, 4 Si 2.52-2.56
Ni  0.2431  0.3757  0.1281  1 Si 2.44, 8 Ni 2.48-2.57, 3 Zn 2.52-2.53
Ni  0.2442  0.3743  0.3778  8 Ni 2.45-2.52, 3 Si 2.49-2.50, 1 Zn 2.56

Values from the calculation:
The calculation puts the energy above the most stable polymorph in this dataset at 0.00 eV per formula unit. The value obtained for the energy relative to the elements, uncorrected is -279 meV per atom.

=====

3.
Here is a relaxed structure of LaHoNi from Alexandria via LeMat-Bulk. Energies are from PBE-GGA.

a = 3.9421 Å, b = 3.9421 Å, c = 6.3701 Å
α = 90.00°, β = 90.00°, γ = 120.00°
Last column: nearest neighbours and their distance in Å.
Space group P3m1 (No. 156)
One atom of each set of equivalent atoms:
La  0.0000  0.0000  0.0000  3 Ni 2.81
Ho  0.3333  0.6667  0.4919  3 Ni 2.72
Ni  0.6667  0.3333  0.2581  3 Ho 2.72, 3 La 2.81

Values from the calculation:
The calculation puts the energy above the most stable polymorph in this dataset at 0.31 eV per formula unit. The calculation puts the energy relative to the elements at -0.148 eV per atom.

=====

4.
Here is a relaxed structure of AcCe2Zn from Alexandria via LeMat-Bulk. Energies are from PBE-GGA.

a = 5.0327 Å, b = 5.0327 Å, c = 16.7957 Å
α = 90.00°, β = 90.00°, γ = 120.00°
Last column: nearest neighbours and their distance in Å.
Space group R-3m (No. 166, hexagonal axes)
One atom of each set of equivalent atoms:
Ac  0.0000  0.0000  0.0000  8 Ce 3.44-3.76
Ce  0.0000  0.0000  0.2239  3 Zn 3.06
Zn  0.0000  0.0000  0.5000  6 Ce 3.06

Values from the calculation:
The calculation puts the energy above the most stable polymorph in this dataset at 1.01 eV per formula unit. The calculation puts the energy relative to the elements at 0.249 eV per atom.

=====

5.
Here is a relaxed structure of Rb2UTeSe4 from Alexandria via LeMat-Bulk. Energies are from PBE-GGA.

a = 8.4239 Å, b = 8.4239 Å, c = 8.5340 Å
α = 90.00°, β = 90.00°, γ = 90.00°
Last column: nearest neighbours and their distance in Å.
Space group I-4 (No. 82)
One atom of each set of equivalent atoms:
Rb  0.0000  0.0000  0.0000  4 Se 3.50
Rb  0.0000  0.5000  0.2500  4 Se 3.41
U  0.0000  0.0000  0.5000  4 Se 2.73
Te  0.0000  0.5000  0.7500  4 Se 2.85
Se  0.1608  0.7897  0.6842  1 U 2.73, 1 Te 2.85

Values from the calculation:
The value obtained for the energy relative to the elements, uncorrected is -726 meV per atom.

=====

6.
Here is a relaxed structure of SbMoP2 from Alexandria via LeMat-Bulk. Energies are from PBE-GGA.

a = 3.5751 Å, b = 4.4848 Å, c = 4.7267 Å
α = 90.00°, β = 108.59°, γ = 90.00°
Last column: nearest neighbours and their distance in Å.
Space group Pm (No. 6)
One atom of each set of equivalent atoms:
Sb  0.0000  0.0000  0.0000  3 P 2.54-2.73
Mo  0.6400  0.5000  0.2079  5 P 2.49-2.71
P  0.3140  0.5000  0.6050  3 Mo 2.51-2.71, 2 P 2.78
P  0.6568  0.0000  0.4397  2 Mo 2.49, 3 Sb 2.54-2.73, 2 P 2.78

Values from the calculation:
The value obtained for the energy relative to the elements, uncorrected is 191 meV per atom.

=====

7.
Here is a relaxed structure of Ho3Co2Ru from Alexandria via LeMat-Bulk. Energies are from PBE-GGA.

a = 3.3595 Å, b = 3.3595 Å, c = 9.9501 Å
α = 90.00°, β = 90.00°, γ = 90.00°
Last column: nearest neighbours and their distance in Å.
Space group P4/mmm (No. 123)
One atom of each set of equivalent atoms:
Ho  0.0000  0.0000  0.0000  8 Co 2.87
Ho  0.0000  0.0000  0.3314  4 Ru 2.91, 4 Co 2.92
Co  0.5000  0.5000  0.1616  8 Ho 2.87-2.92
Ru  0.5000  0.5000  0.5000  8 Ho 2.91

Values from the calculation:
The calculation puts the energy relative to the elements at -0.238 eV per atom.

=====

8.
Here is a relaxed structure of PmTm12Sc5 from Alexandria via LeMat-Bulk. Energies are from PBE-GGA.

a = 5.9842 Å, b = 10.3657 Å, c = 16.7612 Å
α = 90.00°, β = 96.85°, γ = 90.00°
Last column: nearest neighbours and their distance in Å.
Space group C2/m (No. 12)
One atom of each set of equivalent atoms:
Pm  0.0000  0.0000  0.0000  6 Tm 3.45, 6 Sc 3.45-3.46
Tm  0.1084  0.5000  0.8316  2 Sc 3.44, 9 Tm 3.44-3.48, 1 Pm 3.45
Tm  0.1114  0.1677  0.8316  2 Sc 3.44, 9 Tm 3.44-3.48, 1 Pm 3.45
Tm  0.2200  0.0000  0.6609  3 Sc 3.34, 9 Tm 3.45-3.47
Tm  0.2199  0.3334  0.6609  3 Sc 3.34, 9 Tm 3.45-3.48
Sc  0.0000  0.1667  0.5000  6 Tm 3.34, 6 Sc 3.45-3.46
Sc  0.0000  0.3333  0.0000  6 Tm 3.44, 3 Sc 3.45-3.46, 3 Pm 3.45-3.46
Sc  0.0000  0.5000  0.5000  6 Tm 3.34, 6 Sc 3.45-3.46

Values from the calculation:
The calculation puts the energy relative to the elements at 0.035 eV per atom.

=====

9.
Here is a relaxed structure of CsK2W from Alexandria via LeMat-Bulk. Energies are from PBE-GGA.

a = 8.7639 Å, b = 8.7639 Å, c = 8.7639 Å
α = 90.00°, β = 90.00°, γ = 90.00°
Last column: nearest neighbours and their distance in Å.
Space group Fm-3m (No. 225)
One atom of each set of equivalent atoms:
Cs  0.0000  0.0000  0.0000  8 K 3.79
K  0.2500  0.2500  0.2500  4 W 3.79, 4 Cs 3.79
W  0.0000  0.0000  0.5000  8 K 3.79

Values from the calculation:
The calculation puts the energy relative to the elements at 1.564 eV per atom.

=====

10.
Here is a relaxed structure of Tl3Zn2AgF8 from Alexandria via LeMat-Bulk. Energies are from PBE-GGA.

a = 6.1757 Å, b = 6.1757 Å, c = 8.0292 Å
α = 90.00°, β = 90.00°, γ = 120.00°
Last column: nearest neighbours and their distance in Å.
Space group P-3m1 (No. 164)
One atom of each set of equivalent atoms:
Tl  0.0000  0.0000  0.0000  6 F 2.93
Tl  0.3333  0.6667  0.6488  1 F 2.46
Zn  0.3333  0.6667  0.1928  4 F 1.90-1.94
Ag  0.0000  0.0000  0.5000  6 F 2.47
F  0.1672  0.3343  0.2887  1 Zn 1.94
F  0.3333  0.6667  0.9556  1 Zn 1.90

Values from the calculation:
The value obtained for the energy relative to the elements, uncorrected is -1872 meV per atom.

=====

11.
Here is a relaxed structure of Nd3TlCd2 from Alexandria via LeMat-Bulk. Energies are from PBE-GGA.

a = 3.8331 Å, b = 3.8331 Å, c = 11.9061 Å
α = 90.00°, β = 90.00°, γ = 90.00°
Last column: nearest neighbours and their distance in Å.
Space group P4/mmm (No. 123)
One atom of each set of equivalent atoms:
Nd  0.0000  0.0000  0.0000  8 Cd 3.32
Nd  0.0000  0.0000  0.3275  4 Cd 3.36, 4 Tl 3.40
Tl  0.5000  0.5000  0.5000  8 Nd 3.40
Cd  0.5000  0.5000  0.1613  8 Nd 3.32-3.36

Values from the calculation:
The calculation puts the energy above the most stable polymorph in this dataset at 0.02 eV per formula unit. The calculation puts the energy relative to the elements at -0.335 eV per atom.

=====

12.
Here is a relaxed structure of YS3N from Alexandria via LeMat-Bulk. Energies are from PBE-GGA.

a = 4.2688 Å, b = 4.2688 Å, c = 4.2688 Å
α = 90.00°, β = 90.00°, γ = 90.00°
Last column: nearest neighbours and their distance in Å.
Space group Pm-3m (No. 221)
One atom of each set of equivalent atoms:
Y  0.0000  0.0000  0.0000  12 S 3.02
S  0.0000  0.5000  0.5000  2 N 2.13
N  0.5000  0.5000  0.5000  6 S 2.13

Values from the calculation:
The calculation puts the energy above the most stable polymorph in this dataset at 0.00 eV per formula unit. The value obtained for the energy relative to the elements, uncorrected is -78 meV per atom.

=====

13.
Here is a relaxed structure of Cs3Be2F8 from Alexandria via LeMat-Bulk. Energies are from PBE-GGA.

a = 6.1574 Å, b = 6.1574 Å, c = 23.0087 Å
α = 90.00°, β = 90.00°, γ = 120.00°
Last column: nearest neighbours and their distance in Å.
Space group R-3m (No. 166, hexagonal axes)
One atom of each set of equivalent atoms:
Cs  0.0000  0.0000  0.0000  6 F 3.07
Cs  0.0000  0.0000  0.2091  10 F 3.08-3.27
Be  0.0000  0.0000  0.4110  4 F 1.57
F  0.0000  0.0000  0.3429  1 Be 1.57
F  0.0543  0.5271  0.2345  1 Be 1.57

Values from the calculation:
The value obtained for the energy relative to the elements, uncorrected is -2853 meV per atom.

=====

14.
Here is a relaxed structure of NaMgTl3Pb from Alexandria via LeMat-Bulk. Energies are from PBE-GGA.

a = 7.7607 Å, b = 4.7272 Å, c = 9.7355 Å
α = 90.00°, β = 107.79°, γ = 90.00°
Last column: nearest neighbours and their distance in Å.
Space group P2_1/m (No. 11)
One atom of each set of equivalent atoms:
Na  0.1528  0.2500  0.2866  8 Tl 3.37-3.53, 3 Pb 3.48-3.60, 1 Mg 3.56
Mg  0.4924  0.7500  0.8742  7 Tl 3.29-3.40, 2 Pb 3.38, 2 Mg 3.38, 1 Na 3.56
Tl  0.1714  0.7500  0.5456  3 Na 3.39-3.43, 3 Pb 3.40-3.46, 1 Mg 3.40, 5 Tl 3.46-3.69
Tl  0.1823  0.2500  0.8081  3 Mg 3.29-3.34, 5 Tl 3.32-3.56, 2 Na 3.43, 1 Pb 3.44
Tl  0.1893  0.7500  0.0496  3 Mg 3.30-3.33, 1 Pb 3.31, 5 Tl 3.32-3.66, 3 Na 3.37-3.53
Pb  0.4977  0.7500  0.3709  5 Tl 3.31-3.46, 2 Mg 3.38, 2 Pb 3.44, 3 Na 3.48-3.60

Values from the calculation:
The calculation puts the energy relative to the elements at -0.065 eV per atom.

=====

15.
Here is a relaxed structure of Ac5PmSi4 from Alexandria via LeMat-Bulk. Energies are from PBE-GGA.

a = 20.5452 Å, b = 4.5643 Å, c = 8.3198 Å
α = 90.00°, β = 113.89°, γ = 90.00°
Last column: nearest neighbours and their distance in Å.
Space group C2/m (No. 12)
One atom of each set of equivalent atoms:
Ac  0.0000  0.0000  0.0000  4 Si 3.16
Ac  0.1630  0.5000  0.4154  3 Si 3.06-3.13
Ac  0.1627  0.5000  0.9128  3 Si 3.06-3.13
Pm  0.0000  0.0000  0.5000  4 Si 3.02
Si  0.0002  0.5000  0.2627  2 Pm 3.02, 4 Ac 3.06-3.16
Si  0.1916  0.0000  0.6927  6 Ac 3.13-3.45

Values from the calculation:
The value obtained for the energy relative to the elements, uncorrected is -360 meV per atom.

=====

16.
Here is a relaxed structure of WC2 from Alexandria via LeMat-Bulk. Energies are from PBE-GGA.

a = 2.9400 Å, b = 2.9400 Å, c = 4.1310 Å
α = 90.00°, β = 90.00°, γ = 120.00°
Last column: nearest neighbours and their distance in Å.
Space group P-6m2 (No. 187)
One atom of each set of equivalent atoms:
W  0.0000  0.0000  0.0000  6 C 2.19
C  0.6667  0.3333  0.3367  1 C 1.35

Values from the calculation:
The calculation puts the energy above the most stable polymorph in this dataset at 0.29 eV per formula unit. The calculation puts the energy relative to the elements at 0.613 eV per atom.

=====

17.
Here is a relaxed structure of NaSn2BAs from Alexandria via LeMat-Bulk. Energies are from PBE-GGA.

a = 4.9718 Å, b = 4.9718 Å, c = 4.5972 Å
α = 90.00°, β = 90.00°, γ = 90.00°
Last column: nearest neighbours and their distance in Å.
Space group P4/mmm (No. 123)
One atom of each set of equivalent atoms:
Na  0.0000  0.0000  0.0000  8 Sn 3.39, 4 As 3.52
Sn  0.0000  0.5000  0.5000  2 B 2.49
B  0.5000  0.5000  0.5000  2 As 2.30, 4 Sn 2.49
As  0.5000  0.5000  0.0000  2 B 2.30

Values from the calculation:
The calculation puts the energy relative to the elements at 0.485 eV per atom.

=====

18.
Here is a relaxed structure of BaNbSnSb2 from Alexandria via LeMat-Bulk. Energies are from PBE-GGA.

a = 5.9704 Å, b = 5.9704 Å, c = 5.9559 Å
α = 90.00°, β = 90.00°, γ = 90.00°
Last column: nearest neighbours and their distance in Å.
Space group P4/mmm (No. 123)
One atom of each set of equivalent atoms:
Ba  0.0000  0.0000  0.0000  2 Sn 2.98, 4 Sb 2.99
Nb  0.5000  0.5000  0.5000  8 Sb 4.22, 4 Sn 4.22
Sn  0.0000  0.0000  0.5000  2 Ba 2.98
Sb  0.0000  0.5000  0.0000  2 Ba 2.99

Values from the calculation:
The value obtained for the energy relative to the elements, uncorrected is 1817 meV per atom.

=====

19.
Here is a relaxed structure of ReMo2Rh from Alexandria via LeMat-Bulk. Energies are from PBE-GGA.

a = 9.2374 Å, b = 2.7543 Å, c = 4.8557 Å
α = 90.00°, β = 99.24°, γ = 90.00°
Last column: nearest neighbours and their distance in Å.
Space group Cm (No. 8)
One atom of each set of equivalent atoms:
Re  0.0000  0.0000  0.0000  3 Rh 2.71-2.85, 7 Mo 2.73-2.83, 2 Re 2.75
Mo  0.2450  0.0000  0.7527  3 Re 2.73-2.82, 5 Mo 2.75-2.88, 4 Rh 2.77-2.82
Mo  0.4857  0.0000  0.4866  5 Mo 2.75-2.88, 3 Rh 2.75-2.78, 4 Re 2.76-2.83
Rh  0.2395  0.5000  0.2451  3 Re 2.71-2.85, 2 Rh 2.75, 7 Mo 2.75-2.82

Values from the calculation:
The calculation puts the energy above the most stable polymorph in this dataset at 0.14 eV per formula unit. The calculation puts the energy relative to the elements at 0.032 eV per atom.

=====

20.
Here is a relaxed structure of TbY2 from Alexandria via LeMat-Bulk. Energies are from PBE-GGA.

a = 9.3507 Å, b = 9.3507 Å, c = 9.3507 Å
α = 90.00°, β = 90.00°, γ = 90.00°
Last column: nearest neighbours and their distance in Å.
Space group Fd-3m (No. 227, origin choice 2)
One atom of each set of equivalent atoms:
Tb  0.1250  0.1250  0.1250  12 Y 3.88, 4 Tb 4.05
Y  0.0000  0.0000  0.5000  6 Y 3.31

Values from the calculation:
The calculation puts the energy above the most stable polymorph in this dataset at 0.82 eV per formula unit. The calculation puts the energy relative to the elements at 0.293 eV per atom.